1.
This record from the Alexandria database describes an optimized crystal structure of CrP2HI. The functional is PBE-GGA.

a b c (Å): 4.898 4.898 3.300
angles (deg): 90.00 90.00 90.00
Positions (direct):
Cr 0.000 0.000 0.000
P 0.000 0.500 0.500
P 0.500 0.000 0.500
H 0.000 0.000 0.500
I 0.500 0.500 0.000

Output
The total energy comes out at -20.91 eV for the cell shown. Its crystal system is tetragonal. The total magnetic moment comes out at 2.97 μB/cell. As for the calculated volume: 15.83 Å³ per atom.

2.
This record from the Alexandria database describes an optimized crystal structure of RbCr2HI. The functional is PBE-GGA.

a b c (Å): 5.421 5.421 7.640
angles (deg): 90.00 90.00 90.00
Positions (direct):
Rb 0.000 0.000 0.000
Cr 0.000 0.500 0.500
Cr 0.500 0.000 0.500
H 0.500 0.500 0.000
I 0.000 0.000 0.500

Output
The total energy comes out at -19.87 eV for the cell shown. Its crystal system is tetragonal. The total magnetic moment comes out at 10.29 μB/cell. As for the calculated volume: 44.91 Å³ per atom.

3.
This record from the Alexandria database describes an optimized crystal structure of CrRe2HI. The functional is PBE-GGA.

a b c (Å): 4.030 4.030 4.225
angles (deg): 90.00 90.00 90.00
Positions (direct):
Cr 0.000 0.000 0.000
Re 0.000 0.500 0.500
Re 0.500 0.000 0.500
H 0.000 0.000 0.500
I 0.500 0.500 0.000

Output
The total energy comes out at -33.89 eV for the cell shown. Its crystal system is tetragonal. The total magnetic moment comes out at 2.67 μB/cell. As for the calculated volume: 13.73 Å³ per atom.

4.
This record from the Alexandria database describes an optimized crystal structure of ScCrHI2. The functional is PBE-GGA.

a b c (Å): 5.743 5.743 5.679
angles (deg): 90.00 90.00 90.00
Positions (direct):
Sc 0.000 0.000 0.000
Cr 0.000 0.000 0.500
H 0.500 0.500 0.500
I 0.000 0.500 0.000
I 0.500 0.000 0.000

Output
The total energy comes out at -19.69 eV for the cell shown. Its crystal system is tetragonal. The total magnetic moment comes out at 6.05 μB/cell. As for the calculated volume: 37.46 Å³ per atom.

Question: Which formula does entry 3 have?
Answer: CrRe2HI

Question: Which of these has the highest total magnetic moment?
Answer: RbCr2HI